Record 1
Compound: ErZrAu4
Source: the Open Quantum Materials Database
Functional: GGA-PBE
Structure: relaxed

Properties
Energy (eV/atom): -5.10

```
data_ErZrAu4
_space_group_name_H-M_alt 'P 4/m m m'
_space_group_IT_number 123
_space_group_name_Hall '-P 4 2'
_cell_length_a 3.6402
_cell_length_b 3.6402
_cell_length_c 8.9178
_cell_angle_alpha 90.00
_cell_angle_beta 90.00
_cell_angle_gamma 90.00
loop_
_atom_site_label
_atom_site_type_symbol
_atom_site_fract_x
_atom_site_fract_y
_atom_site_fract_z
Er1 Er 0.0000 0.0000 0.0000
Zr1 Zr 0.5000 0.5000 0.5000
Au1 Au 0.0000 0.0000 0.3378
Au2 Au 0.5000 0.5000 0.1702
```

***

Record 2
Compound: Lu4GaPbN2
Source: the Open Quantum Materials Database
Functional: GGA-PBE
Structure: relaxed

Properties
Energy (eV/atom): -6.30

```
data_Lu4GaPbN2
_space_group_name_H-M_alt 'P -6 m 2'
_space_group_IT_number 187
_space_group_name_Hall 'P -6 2'
_cell_length_a 3.4326
_cell_length_b 3.4326
_cell_length_c 14.7767
_cell_angle_alpha 90.00
_cell_angle_beta 90.00
_cell_angle_gamma 120.00
loop_
_atom_site_label
_atom_site_type_symbol
_atom_site_fract_x
_atom_site_fract_y
_atom_site_fract_z
Lu1 Lu 0.0000 0.0000 0.1545
Lu2 Lu 0.6667 0.3333 0.3282
Ga1 Ga 0.6667 0.3333 0.0000
Pb1 Pb 0.0000 0.0000 0.5000
N1 N 0.3333 0.6667 0.2454
```

***

Record 3
Compound: YErSi2Ir
Source: the Open Quantum Materials Database
Functional: GGA-PBE
Structure: relaxed

Properties
Energy (eV/atom): -7.13

```
data_YErSi2Ir
_space_group_name_H-M_alt 'C 1 2/m 1'
_space_group_IT_number 12
_cell_length_a 10.3501
_cell_length_b 4.2426
_cell_length_c 10.0885
_cell_angle_alpha 90.00
_cell_angle_beta 117.55
_cell_angle_gamma 90.00
loop_
_space_group_symop_operation_xyz
'x,y,z'
'-x,-y,-z'
'-x,y,-z'
'x,-y,z'
'x+1/2,y+1/2,z'
'-x+1/2,-y+1/2,-z'
'-x+1/2,y+1/2,-z'
'x+1/2,-y+1/2,z'
loop_
_atom_site_label
_atom_site_type_symbol
_atom_site_fract_x
_atom_site_fract_y
_atom_site_fract_z
Y1 Y 0.1904 0.0000 0.1131
Er1 Er 0.0057 0.0000 0.3278
Si1 Si 0.0119 0.5000 0.8829
Si2 Si 0.1436 0.5000 0.5554
Ir1 Ir 0.2298 0.5000 0.3466
```

***

Record 4
Compound: HgBNO
Source: the Open Quantum Materials Database
Functional: GGA-PBE
Structure: relaxed

Properties
Excess energy over the best structure of this formula in the dataset (meV per atom): 1238
Energy (eV/atom): -4.39

```
data_HgBNO
_space_group_name_H-M_alt 'P 4/n m m'
_space_group_IT_number 129
_cell_length_a 3.2873
_cell_length_b 3.2873
_cell_length_c 8.7165
_cell_angle_alpha 90.00
_cell_angle_beta 90.00
_cell_angle_gamma 90.00
loop_
_space_group_symop_operation_xyz
'x,y,z'
'-x,-y,-z'
'-y+1/2,x,z'
'y+1/2,-x,-z'
'-x+1/2,-y+1/2,z'
'x+1/2,y+1/2,-z'
'y,-x+1/2,z'
'-y,x+1/2,-z'
'x+1/2,-y,-z'
'-x+1/2,y,z'
'-y,-x,-z'
'y,x,z'
'-x,y+1/2,-z'
'x,-y+1/2,z'
'y+1/2,x+1/2,-z'
'-y+1/2,-x+1/2,z'
loop_
_atom_site_label
_atom_site_type_symbol
_atom_site_fract_x
_atom_site_fract_y
_atom_site_fract_z
Hg1 Hg 0.2500 0.2500 0.1821
B1 B 0.2500 0.7500 0.5000
N1 N 0.2500 0.2500 0.4556
O1 O 0.2500 0.7500 0.0000
```

***

Record 5
Compound: Li2Mg2AlSnPt2
Source: the Open Quantum Materials Database
Functional: GGA-PBE
Structure: relaxed

Properties
Energy (eV/atom): -4.05

```
data_Li2Mg2AlSnPt2
_space_group_name_H-M_alt 'P -4 m 2'
_space_group_IT_number 115
_cell_length_a 4.4729
_cell_length_b 4.4729
_cell_length_c 6.4155
_cell_angle_alpha 90.00
_cell_angle_beta 90.00
_cell_angle_gamma 90.00
loop_
_space_group_symop_operation_xyz
'x,y,z'
'y,-x,-z'
'-x,-y,z'
'-y,x,-z'
'-x,y,z'
'-y,-x,-z'
'x,-y,z'
'y,x,-z'
loop_
_atom_site_label
_atom_site_type_symbol
_atom_site_fract_x
_atom_site_fract_y
_atom_site_fract_z
Li1 Li 0.0000 0.5000 0.2349
Mg1 Mg 0.0000 0.0000 0.0000
Mg2 Mg 0.5000 0.5000 0.5000
Al1 Al 0.5000 0.5000 0.0000
Sn1 Sn 0.0000 0.0000 0.5000
Pt1 Pt 0.0000 0.5000 0.7685
```

***

Record 6
Compound: Nd2Cd
Source: the Open Quantum Materials Database
Functional: GGA-PBE
Structure: relaxed

Properties
Excess energy over the best structure of this formula in the dataset (meV per atom): 0
Energy (eV/atom): -3.55

```
data_Nd2Cd
_space_group_name_H-M_alt 'C 1 2/m 1'
_space_group_IT_number 12
_cell_length_a 6.3624
_cell_length_b 3.6846
_cell_length_c 8.3338
_cell_angle_alpha 90.00
_cell_angle_beta 105.08
_cell_angle_gamma 90.00
loop_
_space_group_symop_operation_xyz
'x,y,z'
'-x,-y,-z'
'-x,y,-z'
'x,-y,z'
'x+1/2,y+1/2,z'
'-x+1/2,-y+1/2,-z'
'-x+1/2,y+1/2,-z'
'x+1/2,-y+1/2,z'
loop_
_atom_site_label
_atom_site_type_symbol
_atom_site_fract_x
_atom_site_fract_y
_atom_site_fract_z
Nd1 Nd 0.2277 0.0000 0.1850
Cd1 Cd 0.0000 0.0000 0.5000
```